No. 1
Density functional theory data (PBE-GGA) for a geometry-optimized Pm3Br3N structure.

Geometry as extended XYZ:
```
14
Lattice="8.423 0.000 0.000 0.000 3.815 0.000 -0.454 0.000 11.366" Properties=species:S:1:pos:R:3 pbc="T T T"
Pm 0.536 0.954 4.507
Pm 0.638 0.954 9.441
Pm 2.324 2.861 7.061
Pm 5.644 0.954 4.306
Pm 7.331 2.861 1.925
Pm 7.433 2.861 6.859
Br 1.135 0.954 1.402
Br 3.047 2.861 4.160
Br 2.815 2.861 9.955
Br 5.154 0.954 1.412
Br 4.922 0.954 7.206
Br 6.834 2.861 9.964
N 0.707 0.954 6.996
N 7.262 2.861 4.370
```

## Properties
E_form (uncorrected), meV per atom: -1557
Space-group type: P2_1/m

---

No. 2
Density functional theory data (PBE-GGA) for a geometry-optimized Pm2Br2N structure.

Geometry as extended XYZ:
```
5
Lattice="1.895 1.094 10.797 -1.895 1.094 10.797 0.000 -2.188 10.797" Properties=species:S:1:pos:R:3 pbc="T T T"
Pm 0.000 0.000 4.048
Pm 0.000 0.000 28.343
Br 0.000 0.000 8.750
Br 0.000 0.000 23.641
N 0.000 0.000 16.195
```

## Properties
E_form (uncorrected), meV per atom: -1668
Space-group type: R-3m
Excess energy over the best structure of this formula in the dataset, meV per atom: 0

---

No. 3
Density functional theory data (PBE-GGA) for a geometry-optimized PmBr2N2 structure.

Geometry as extended XYZ:
```
10
Lattice="3.813 -6.439 0.000 3.813 6.439 0.000 -0.005 0.000 7.628" Properties=species:S:1:pos:R:3 pbc="T T T"
Pm 3.813 4.220 0.000
Pm 3.813 -4.220 0.000
Br 2.265 2.648 1.800
Br 5.354 2.648 5.828
Br 2.265 -2.648 1.800
Br 5.354 -2.648 5.828
N 0.393 0.000 6.168
N 1.320 0.000 6.891
N 6.299 0.000 0.737
N 7.227 0.000 1.460
```

## Properties
E_form (uncorrected), meV per atom: -917
Space-group type: C2/m

---

No. 4
Density functional theory data (PBE-GGA) for a geometry-optimized Pm2Br3N structure.

Geometry as extended XYZ:
```
12
Lattice="9.344 -2.012 0.000 9.344 2.012 0.000 -6.765 0.000 9.777" Properties=species:S:1:pos:R:3 pbc="T T T"
Pm -1.691 0.000 4.490
Pm 5.347 0.000 2.097
Pm 6.576 0.000 7.680
Pm 13.613 0.000 5.287
Br 3.085 0.000 0.090
Br 2.745 0.000 3.712
Br 3.561 0.000 7.351
Br 8.362 0.000 2.426
Br 9.178 0.000 6.065
Br 8.837 0.000 9.687
N -3.029 0.000 6.385
N 14.952 0.000 3.392
```

## Properties
E_form (uncorrected), meV per atom: -1816
Space-group type: C2/m

---

No. 5
Density functional theory data (PBE-GGA) for a geometry-optimized Pm4Br5N structure.

Geometry as extended XYZ:
```
10
Lattice="9.021 -1.932 0.000 9.021 1.932 0.000 -1.916 0.000 8.077" Properties=species:S:1:pos:R:3 pbc="T T T"
Pm -0.546 0.000 2.410
Pm 5.705 0.000 3.457
Pm 10.422 0.000 4.620
Pm 16.672 0.000 5.667
Br 1.339 0.000 6.827
Br 2.465 0.000 2.615
Br 9.021 0.000 0.000
Br 13.661 0.000 5.461
Br 14.787 0.000 1.250
N 8.063 0.000 4.038
```

## Properties
E_form (uncorrected), meV per atom: -1628
Space-group type: C2/m

---

No. 6
Density functional theory data (PBE-GGA) for a geometry-optimized PmBr3N2 structure.

Geometry as extended XYZ:
```
12
Lattice="5.751 0.000 0.000 0.000 8.547 0.000 -2.833 0.000 9.707" Properties=species:S:1:pos:R:3 pbc="T T T"
Pm 0.012 2.137 0.001
Pm 2.907 6.410 9.706
Br 0.004 8.547 1.956
Br 0.004 4.274 1.956
Br 2.867 6.410 0.002
Br 0.051 2.137 9.705
Br 2.914 0.000 7.751
Br 2.914 4.273 7.751
N 0.006 2.137 6.141
N 0.048 6.410 6.142
N 2.870 2.137 3.565
N 2.913 6.410 3.566
```

## Properties
E_form (uncorrected), meV per atom: 497
Space-group type: P2_1/m